[1]
# Tb6PmHo2Mg

A relaxed Tb6PmHo2Mg crystal (PBE-GGA, the Alexandria database).

total magnetic moment	0.00	μB/f.u.
Fermi-level density of states	1.5993	states/eV/atom
energy of formation from the pure elements	0.1134	eV/atom

The structure in extended XYZ format:
```
20
Lattice="6.519 -0.762 -0.790 1.556 10.259 -3.278 1.556 -3.656 10.131" Properties=species:S:1:pos:R:3 pbc="T T T"
Tb 7.617 0.692 3.050
Tb 3.943 7.588 1.153
Ho 7.300 2.130 -0.141
Mg 3.186 0.222 6.013
Tb 1.580 -2.138 7.698
Tb 4.792 -1.550 8.308
Ho 2.331 3.712 6.203
Tb 5.688 -1.747 4.909
Tb 5.273 2.439 4.862
Pm 3.186 9.923 -3.336
Tb 4.839 7.392 -2.246
Tb 2.429 5.351 -1.169
Ho 4.041 0.161 2.518
Ho 5.591 5.680 3.544
Tb 2.014 5.149 3.012
Tb 8.051 7.979 -1.636
Mg 6.445 5.620 0.049
Tb 4.358 3.403 1.200
Pm 6.445 -4.082 9.398
Tb 7.202 0.490 7.231
```



[2]
# AgGeIO2

A relaxed AgGeIO2 crystal (PBE-GGA, the Alexandria database).

distance to the lowest polymorph of the same formula	0.8681	eV per atom
total magnetic moment	0.49	μB/f.u.
Fermi-level density of states	0.4484	states/eV/atom
ΔE_f (raw)	500	meV/atom

The structure in extended XYZ format:
```
5
Lattice="4.231 0.000 0.000 0.000 4.231 0.000 0.000 0.000 5.501" Properties=species:S:1:pos:R:3 pbc="T T T"
Ge 2.116 2.116 2.750
O 0.000 2.116 0.000
O 2.116 0.000 0.000
I 0.000 0.000 2.750
Ag 0.000 0.000 0.000
```



[3]
# Na2TlCdAu

A relaxed Na2TlCdAu crystal (PBE-GGA, the Alexandria database).

distance to the lowest polymorph of the same formula	0.0000	eV per atom
total magnetic moment	0.00	μB/f.u.
Fermi-level density of states	0.3920	states/eV/atom
energy of formation from the pure elements	-0.0385	eV/atom

The structure in extended XYZ format:
```
5
Lattice="5.499 0.000 0.000 0.000 5.499 0.000 0.000 0.000 5.335" Properties=species:S:1:pos:R:3 pbc="T T T"
Na 2.750 0.000 0.000
Cd 0.000 0.000 2.667
Na 0.000 2.750 0.000
Au 0.000 0.000 0.000
Tl 2.750 2.750 2.667
```



[4]
# Sm3C2

A relaxed Sm3C2 crystal (PBE-GGA, the Alexandria database).

total magnetic moment	0.00	μB/f.u.
Fermi-level density of states	0.4404	states/eV/atom
energy of formation from the pure elements	-0.0532	eV/atom

The structure in extended XYZ format:
```
10
Lattice="6.381 0.000 0.000 3.191 5.526 0.000 3.191 1.842 6.042" Properties=species:S:1:pos:R:3 pbc="T T T"
Sm 7.584 1.842 1.510
C 9.572 5.526 2.828
Sm 7.375 5.647 1.510
Sm 4.185 3.564 1.510
C 6.381 3.684 5.849
Sm 8.578 3.805 4.531
Sm 5.179 5.526 4.531
Sm 5.387 1.722 4.531
C 6.381 3.684 0.193
C 3.191 1.842 3.214
```



[5]
# La2Cr

A relaxed La2Cr crystal (PBE-GGA, the Alexandria database).

total magnetic moment	2.88	μB/f.u.
Fermi-level density of states	1.2892	states/eV/atom
energy of formation from the pure elements	0.3329	eV/atom

The structure in extended XYZ format:
```
3
Lattice="-1.207 -2.022 -3.018 3.611 -0.319 -1.231 1.834 -6.302 1.060" Properties=species:S:1:pos:R:3 pbc="T T T"
La 1.386 -2.667 -1.196
Cr 0.000 0.000 0.000
La 2.851 -5.975 -1.993
```



[6]
# LiBeSn

A relaxed LiBeSn crystal (PBE-GGA, the Alexandria database).

distance to the lowest polymorph of the same formula	0.0537	eV per atom
total magnetic moment	0.00	μB/f.u.
Fermi-level density of states	0.2345	states/eV/atom
energy of formation from the pure elements	0.0131	eV/atom

The structure in extended XYZ format:
```
6
Lattice="3.786 0.000 -0.009 -0.004 4.608 -0.011 -1.828 -1.622 6.204" Properties=species:S:1:pos:R:3 pbc="T T T"
Sn -1.181 2.983 4.623
Li 0.704 1.927 0.539
Li 0.714 0.628 3.921
Sn 2.606 4.108 1.493
Be 0.710 2.857 2.865
Be 2.601 1.824 2.411
```



- Which value of Fermi-level density of states does entry 1 give?
  1.5993 states/eV/atom